A plane-wave DFT calculation with PBE was carried out for a relaxed structure of HoEr2ScSe6.

Its energy relative to the elements, uncorrected is -1.794 eV/atom. The volume comes out at 825.5 Å³/cell. The size of the total moment comes out at 0.00 μB per atom. The mass density is 6.14 g/cm3.

The space group is R3 (No. 146, hexagonal axes) and the conventional cell measures 7.0580, 7.0580 and 19.1352 Å, with angles of 90.00, 90.00 and 120.00 degrees. The inequivalent atoms are Ho at (0.0000, 0.0000, 0.0000), Er at (0.0000, 0.0000, 0.3039), Er at (0.0000, 0.0000, 0.8062), Sc at (0.0000, 0.0000, 0.4971), Se at (0.0284, 0.3452, 0.5693) and Se at (0.0339, 0.6701, 0.0717).